# 1
DFT (PBE) results for RePdRu2 after structural relaxation.

**Volume**: 14.39 Å³ per atom
**ΔE to the lowest computed polymorph**: 0.40 eV/f.u.
**VASP energy**: -35.526 eV per cell
**Formation enthalpy at 0 K**: 167 meV per atom

Lattice parameters (Å, degrees): 3.9039 3.9039 3.7757 90.00 90.00 90.00
Last column: nearest neighbours and their distance in Å.
Fractional coordinates of all 4 atoms:
Re 0.0000 0.0000 0.0000  8 Ru 2.72, 4 Pd 2.76
Pd 0.5000 0.5000 0.0000  8 Ru 2.72, 4 Re 2.76
Ru 0.0000 0.5000 0.5000  4 Re 2.72, 4 Pd 2.72, 4 Ru 2.76
Ru 0.5000 0.0000 0.5000  4 Re 2.72, 4 Pd 2.72, 4 Ru 2.76



# 2
DFT (PBE) results for Re2PdRu after structural relaxation.

**Volume**: 16.47 Å³ per atom
**ΔE to the lowest computed polymorph**: 2.94 eV/f.u.
**VASP energy**: -72.151 eV per cell
**Formation enthalpy at 0 K**: 822 meV per atom

Lattice parameters (Å, degrees): 5.6504 5.6504 5.6504 102.61 102.61 124.30
Last column: nearest neighbours and their distance in Å.
Fractional coordinates of all 8 atoms:
Re 0.0930 0.6250 0.9680  2 Ru 2.43, 2 Re 2.68
Re 0.3750 0.3430 0.4680  2 Ru 2.43, 2 Re 2.68
Re 0.6570 0.1250 0.0320  2 Ru 2.43, 2 Re 2.68
Re 0.8750 0.9070 0.5320  2 Ru 2.43, 2 Re 2.68
Pd 0.2500 0.7500 0.5000  2 Ru 2.64, 4 Re 2.74
Pd 0.5000 0.5000 0.0000  2 Ru 2.64, 4 Re 2.74
Ru 0.0000 0.0000 0.0000  4 Re 2.43, 2 Pd 2.64
Ru 0.7500 0.2500 0.5000  4 Re 2.43, 2 Pd 2.64



# 3
DFT (PBE) results for Re2PdRu2 after structural relaxation.

**Volume**: 15.38 Å³ per atom
**VASP energy**: -95.334 eV per cell
**Formation enthalpy at 0 K**: 195 meV per atom

Lattice parameters (Å, degrees): 7.4741 7.4741 2.7534 90.00 90.00 90.00
Last column: nearest neighbours and their distance in Å.
Fractional coordinates of all 10 atoms:
Re 0.1653 0.3347 0.0000  6 Ru 2.58-2.61, 2 Re 2.75
Re 0.3347 0.8347 0.0000  6 Ru 2.58-2.61, 2 Re 2.75
Re 0.6653 0.1653 0.0000  6 Ru 2.58-2.61, 2 Re 2.75
Re 0.8347 0.6653 0.0000  6 Ru 2.58-2.61, 2 Re 2.75
Pd 0.0000 0.0000 0.5000  2 Pd 2.75, 4 Ru 2.94
Pd 0.5000 0.5000 0.5000  2 Pd 2.75, 4 Ru 2.94
Ru 0.1285 0.6285 0.5000  6 Re 2.58-2.61, 3 Ru 2.72-2.75
Ru 0.3715 0.1285 0.5000  6 Re 2.58-2.61, 3 Ru 2.72-2.75
Ru 0.6285 0.8715 0.5000  6 Re 2.58-2.61, 3 Ru 2.72-2.75
Ru 0.8715 0.3715 0.5000  6 Re 2.58-2.61, 3 Ru 2.72-2.75



# 4
DFT (PBE) results for RePdRu2 after structural relaxation.

**Volume**: 14.67 Å³ per atom
**ΔE to the lowest computed polymorph**: 1.16 eV/f.u.
**VASP energy**: -34.770 eV per cell
**Formation enthalpy at 0 K**: 356 meV per atom

Lattice parameters (Å, degrees): 4.3619 4.3619 4.3619 60.00 60.00 60.00
Last column: nearest neighbours and their distance in Å.
Fractional coordinates of all 4 atoms:
Re 0.0000 0.0000 0.0000  8 Ru 2.67
Pd 0.5000 0.5000 0.5000  8 Ru 2.67
Ru 0.2500 0.2500 0.2500  4 Pd 2.67, 4 Re 2.67
Ru 0.7500 0.7500 0.7500  4 Pd 2.67, 4 Re 2.67



# 5
DFT (PBE) results for RePdRu2 after structural relaxation.

**Volume**: 16.52 Å³ per atom
**ΔE to the lowest computed polymorph**: 2.32 eV/f.u.
**VASP energy**: -67.210 eV per cell
**Formation enthalpy at 0 K**: 647 meV per atom

Lattice parameters (Å, degrees): 5.6439 5.6439 5.6439 102.99 102.99 123.39
Last column: nearest neighbours and their distance in Å.
Fractional coordinates of all 8 atoms:
Re 0.0000 0.0000 0.0000  4 Ru 2.39, 2 Pd 2.68
Re 0.7500 0.2500 0.5000  4 Ru 2.39, 2 Pd 2.68
Pd 0.2500 0.7500 0.5000  2 Re 2.68, 4 Ru 2.77
Pd 0.5000 0.5000 0.0000  2 Re 2.68, 4 Ru 2.77
Ru 0.0855 0.6250 0.9605  2 Re 2.39
Ru 0.3750 0.3355 0.4605  2 Re 2.39
Ru 0.6645 0.1250 0.0395  2 Re 2.39
Ru 0.8750 0.9145 0.5395  2 Re 2.39



# 6
DFT (PBE) results for Re2Pd2Ru after structural relaxation.

**Volume**: 20.01 Å³ per atom
**VASP energy**: -32.241 eV per cell
**Formation enthalpy at 0 K**: 2463 meV per atom

Lattice parameters (Å, degrees): 4.6213 4.6213 4.6854 90.00 90.00 90.00
Last column: nearest neighbours and their distance in Å.
Fractional coordinates of all 5 atoms:
Re 0.0000 0.5000 0.0000  2 Pd 2.31
Re 0.5000 0.0000 0.0000  2 Pd 2.31
Pd 0.0000 0.0000 0.0000  4 Re 2.31, 2 Pd 2.34
Pd 0.0000 0.0000 0.5000  2 Pd 2.34
Ru 0.5000 0.5000 0.5000  4 Pd 3.27, 8 Re 3.29



# 7
DFT (PBE) results for Re2PdRu after structural relaxation.

**Volume**: 14.74 Å³ per atom
**ΔE to the lowest computed polymorph**: 0.00 eV/f.u.
**VASP energy**: -39.015 eV per cell
**Formation enthalpy at 0 K**: 87 meV per atom

Lattice parameters (Å, degrees): 9.2002 9.2002 9.2002 17.13 17.13 17.13
Last column: nearest neighbours and their distance in Å.
Fractional coordinates of all 4 atoms:
Re 0.2476 0.2476 0.2476  3 Ru 2.71, 6 Re 2.74, 3 Pd 2.82
Re 0.7524 0.7524 0.7524  3 Ru 2.71, 6 Re 2.74, 3 Pd 2.82
Pd 0.0000 0.0000 0.0000  6 Pd 2.74, 6 Re 2.82
Ru 0.5000 0.5000 0.5000  6 Re 2.71, 6 Ru 2.74



# 8
DFT (PBE) results for RePdRu2 after structural relaxation.

**Volume**: 14.59 Å³ per atom
**ΔE to the lowest computed polymorph**: 0.00 eV/f.u.
**VASP energy**: -35.927 eV per cell
**Formation enthalpy at 0 K**: 66 meV per atom

Lattice parameters (Å, degrees): 9.1166 9.1166 9.1166 17.28 17.28 17.28
Last column: nearest neighbours and their distance in Å.
Fractional coordinates of all 4 atoms:
Re 0.0000 0.0000 0.0000  6 Ru 2.68, 6 Re 2.74
Pd 0.5000 0.5000 0.5000  6 Pd 2.74, 6 Ru 2.81
Ru 0.2530 0.2530 0.2530  3 Re 2.68, 6 Ru 2.74, 3 Pd 2.81
Ru 0.7470 0.7470 0.7470  3 Re 2.68, 6 Ru 2.74, 3 Pd 2.81



# 9
DFT (PBE) results for Re2PdRu after structural relaxation.

**Volume**: 14.99 Å³ per atom
**ΔE to the lowest computed polymorph**: 2.10 eV/f.u.
**VASP energy**: -36.911 eV per cell
**Formation enthalpy at 0 K**: 613 meV per atom

Lattice parameters (Å, degrees): 4.3932 4.3932 4.3932 60.00 60.00 60.00
Last column: nearest neighbours and their distance in Å.
Fractional coordinates of all 4 atoms:
Re 0.2500 0.2500 0.2500  4 Ru 2.69, 4 Pd 2.69
Re 0.7500 0.7500 0.7500  4 Pd 2.69, 4 Ru 2.69
Pd 0.0000 0.0000 0.0000  8 Re 2.69
Ru 0.5000 0.5000 0.5000  8 Re 2.69



# 10
DFT (PBE) results for Re2PdRu2 after structural relaxation.

**Volume**: 15.51 Å³ per atom
**VASP energy**: -95.347 eV per cell
**Formation enthalpy at 0 K**: 193 meV per atom

Lattice parameters (Å, degrees): 7.5129 7.5129 2.7486 90.00 90.00 90.00
Last column: nearest neighbours and their distance in Å.
Fractional coordinates of all 10 atoms:
Re 0.1241 0.3759 0.0000  6 Ru 2.60-2.61, 3 Re 2.64-2.75
Re 0.3759 0.8759 0.0000  6 Ru 2.60-2.61, 3 Re 2.64-2.75
Re 0.6241 0.1241 0.0000  6 Ru 2.60-2.61, 3 Re 2.64-2.75
Re 0.8759 0.6241 0.0000  6 Ru 2.60-2.61, 3 Re 2.64-2.75
Pd 0.0000 0.0000 0.0000  2 Pd 2.75, 4 Re 2.97
Pd 0.5000 0.5000 0.0000  2 Pd 2.75, 4 Re 2.97
Ru 0.1671 0.6671 0.5000  6 Re 2.60-2.61, 2 Ru 2.75
Ru 0.3329 0.1671 0.5000  6 Re 2.60-2.61, 2 Ru 2.75
Ru 0.6671 0.8329 0.5000  6 Re 2.60-2.61, 2 Ru 2.75
Ru 0.8329 0.3329 0.5000  6 Re 2.60-2.61, 2 Ru 2.75



# 11
DFT (PBE) results for RePd3Ru after structural relaxation.

**Volume**: 21.42 Å³ per atom
**ΔE to the lowest computed polymorph**: 0.00 eV/f.u.
**VASP energy**: -28.743 eV per cell
**Formation enthalpy at 0 K**: 1712 meV per atom

Lattice parameters (Å, degrees): 4.7486 4.7486 4.7486 90.00 90.00 90.00
Last column: nearest neighbours and their distance in Å.
Fractional coordinates of all 5 atoms:
Re 0.0000 0.0000 0.0000  6 Pd 2.37
Pd 0.0000 0.0000 0.5000  2 Re 2.37
Pd 0.0000 0.5000 0.0000  2 Re 2.37
Pd 0.5000 0.0000 0.0000  2 Re 2.37
Ru 0.5000 0.5000 0.5000  12 Pd 3.36



# 12
DFT (PBE) results for TiRePdRu2 after structural relaxation.

**Volume**: 20.46 Å³ per atom
**VASP energy**: -34.087 eV per cell
**Formation enthalpy at 0 K**: 2000 meV per atom

Lattice parameters (Å, degrees): 4.7063 4.7063 4.6192 90.00 90.00 90.00
Last column: nearest neighbours and their distance in Å.
Fractional coordinates of all 5 atoms:
Ti 0.0000 0.0000 0.0000  8 Ru 3.30, 4 Re 3.33
Re 0.5000 0.5000 0.0000  2 Pd 2.31
Pd 0.5000 0.5000 0.5000  2 Re 2.31, 4 Ru 2.35
Ru 0.0000 0.5000 0.5000  2 Pd 2.35
Ru 0.5000 0.0000 0.5000  2 Pd 2.35



# 13
DFT (PBE) results for RePdS2 after structural relaxation.

**Volume**: 14.15 Å³ per atom
**ΔE to the lowest computed polymorph**: 2.08 eV/f.u.
**VASP energy**: -24.513 eV per cell
**ΔE_f (raw)**: 0.346 eV per atom

Lattice parameters (Å, degrees): 4.3102 4.3102 4.3102 60.00 60.00 60.00
Last column: nearest neighbours and their distance in Å.
Fractional coordinates of all 4 atoms:
Re 0.0000 0.0000 0.0000  8 S 2.64
Pd 0.5000 0.5000 0.5000  8 S 2.64
S 0.2500 0.2500 0.2500  4 Re 2.64, 4 Pd 2.64
S 0.7500 0.7500 0.7500  4 Re 2.64, 4 Pd 2.64



# 14
DFT (PBE) results for RePdS2 after structural relaxation.

**Volume**: 19.36 Å³ per atom
**ΔE to the lowest computed polymorph**: 0.56 eV/f.u.
**VASP energy**: -52.056 eV per cell
**ΔE_f (raw)**: -0.033 eV per atom

Lattice parameters (Å, degrees): 6.4708 6.4708 6.4708 130.07 130.07 73.29
Last column: nearest neighbours and their distance in Å.
Fractional coordinates of all 8 atoms:
Re 0.0000 0.0000 0.0000  4 S 2.25
Re 0.7500 0.2500 0.5000  4 S 2.25
Pd 0.2500 0.7500 0.5000  4 S 2.41
Pd 0.5000 0.5000 0.0000  4 S 2.41
S 0.1013 0.6250 0.9763  2 Re 2.25, 2 Pd 2.41
S 0.3750 0.3513 0.4763  2 Re 2.25, 2 Pd 2.41
S 0.6487 0.1250 0.0237  2 Re 2.25, 2 Pd 2.41
S 0.8750 0.8987 0.5237  2 Re 2.25, 2 Pd 2.41



# 15
DFT (PBE) results for RePdS3 after structural relaxation.

**Volume**: 19.67 Å³ per atom
**ΔE to the lowest computed polymorph**: 3.61 eV/f.u.
**VASP energy**: -27.256 eV per cell
**ΔE_f (raw)**: 0.553 eV per atom

Lattice parameters (Å, degrees): 4.6157 4.6157 4.6157 90.00 90.00 90.00
Last column: nearest neighbours and their distance in Å.
Fractional coordinates of all 5 atoms:
Re 0.0000 0.0000 0.0000  6 S 2.31
Pd 0.5000 0.5000 0.5000  12 S 3.26
S 0.0000 0.0000 0.5000  2 Re 2.31
S 0.0000 0.5000 0.0000  2 Re 2.31
S 0.5000 0.0000 0.0000  2 Re 2.31



# 16
DFT (PBE) results for RePd3S after structural relaxation.

**Volume**: 22.06 Å³ per atom
**ΔE to the lowest computed polymorph**: 3.40 eV/f.u.
**VASP energy**: -25.009 eV per cell
**ΔE_f (raw)**: 1.429 eV per atom

Lattice parameters (Å, degrees): 4.7960 4.7960 4.7960 90.00 90.00 90.00
Last column: nearest neighbours and their distance in Å.
Fractional coordinates of all 5 atoms:
Re 0.0000 0.0000 0.0000  6 Pd 2.40
Pd 0.0000 0.0000 0.5000  2 Re 2.40
Pd 0.0000 0.5000 0.0000  2 Re 2.40
Pd 0.5000 0.0000 0.0000  2 Re 2.40
S 0.5000 0.5000 0.5000  12 Pd 3.39



# 17
DFT (PBE) results for Re2PdS6 after structural relaxation.

**Volume**: 19.88 Å³ per atom
**VASP energy**: -55.809 eV per cell
**ΔE_f (raw)**: -0.106 eV per atom

Lattice parameters (Å, degrees): 6.1499 6.1499 7.7853 114.11 114.11 42.53
Last column: nearest neighbours and their distance in Å.
Fractional coordinates of all 9 atoms:
Re 0.1896 0.1896 0.1399  5 S 2.18-2.39
Re 0.8104 0.8104 0.8601  5 S 2.18-2.39
Pd 0.0000 0.0000 0.5000  2 S 2.39
S 0.0120 0.0120 0.2011  1 Re 2.28, 1 Pd 2.39
S 0.3056 0.3056 0.9484  3 Re 2.34-2.39
S 0.3499 0.3499 0.4266  1 Re 2.18
S 0.6501 0.6501 0.5734  1 Re 2.18
S 0.6944 0.6944 0.0516  3 Re 2.34-2.39
S 0.9880 0.9880 0.7989  1 Re 2.28, 1 Pd 2.39



# 18
DFT (PBE) results for RePdS3 after structural relaxation.

**Volume**: 17.77 Å³ per atom
**ΔE to the lowest computed polymorph**: 0.00 eV/f.u.
**VASP energy**: -123.462 eV per cell
**ΔE_f (raw)**: -0.168 eV per atom

Lattice parameters (Å, degrees): 8.2979 5.9253 7.8975 90.00 113.72 90.00
Last column: nearest neighbours and their distance in Å.
Fractional coordinates of all 20 atoms:
Re 0.0842 0.1929 0.1010  6 S 2.27-2.53
Re 0.0842 0.3071 0.6010  6 S 2.27-2.53
Re 0.9158 0.6929 0.3990  6 S 2.27-2.53
Re 0.9158 0.8071 0.8990  6 S 2.27-2.53
Pd 0.4194 0.6861 0.3803  5 S 2.38-2.61
Pd 0.4194 0.8139 0.8803  5 S 2.38-2.61
Pd 0.5806 0.1861 0.1197  5 S 2.38-2.61
Pd 0.5806 0.3139 0.6197  5 S 2.38-2.61
S 0.0382 0.0657 0.3486  3 Re 2.27-2.53
S 0.0382 0.4343 0.8486  3 Re 2.27-2.53
S 0.2266 0.6291 0.5622  2 Re 2.33-2.40, 1 Pd 2.57
S 0.2266 0.8709 0.0622  2 Re 2.33-2.40, 1 Pd 2.57
S 0.3822 0.1908 0.7680  3 Pd 2.38-2.60, 1 Re 2.39
S 0.3822 0.3092 0.2680  3 Pd 2.38-2.60, 1 Re 2.39
S 0.6178 0.6908 0.7320  3 Pd 2.38-2.60, 1 Re 2.39
S 0.6178 0.8092 0.2320  3 Pd 2.38-2.60, 1 Re 2.39
S 0.7734 0.1291 0.9378  2 Re 2.33-2.40, 1 Pd 2.57
S 0.7734 0.3709 0.4378  2 Re 2.33-2.40, 1 Pd 2.57
S 0.9618 0.5657 0.1514  3 Re 2.27-2.53
S 0.9618 0.9343 0.6514  3 Re 2.27-2.53



# 19
DFT (PBE) results for RePdS after structural relaxation.

**Volume**: 19.38 Å³ per atom
**VASP energy**: -42.872 eV per cell
**ΔE_f (raw)**: 0.111 eV per atom

Lattice parameters (Å, degrees): 2.8546 4.4299 9.3044 90.00 98.69 90.00
Last column: nearest neighbours and their distance in Å.
Fractional coordinates of all 6 atoms:
Re 0.0867 0.2500 0.1759  2 S 2.24
Re 0.9133 0.7500 0.8241  2 S 2.24
Pd 0.4547 0.2500 0.9070  6 Re 2.74-2.86, 4 Pd 2.80-2.85
Pd 0.5453 0.7500 0.0930  6 Re 2.74-2.86, 4 Pd 2.80-2.85
S 0.3209 0.7500 0.6364  2 Re 2.24
S 0.6791 0.2500 0.3636  2 Re 2.24



# 20
DFT (PBE) results for RePdS3 after structural relaxation.

**Volume**: 19.99 Å³ per atom
**ΔE to the lowest computed polymorph**: 7.40 eV/f.u.
**VASP energy**: -23.461 eV per cell
**ΔE_f (raw)**: 1.313 eV per atom

Lattice parameters (Å, degrees): 4.6410 4.6410 4.6410 90.00 90.00 90.00
Last column: nearest neighbours and their distance in Å.
Fractional coordinates of all 5 atoms:
Re 0.0000 0.0000 0.0000  12 S 3.28
Pd 0.5000 0.5000 0.5000  6 S 2.32
S 0.0000 0.5000 0.5000  2 Pd 2.32
S 0.5000 0.0000 0.5000  2 Pd 2.32
S 0.5000 0.5000 0.0000  2 Pd 2.32